No. 1
First-principles (GGA-PBE) data for a geometry-optimized YAuF2 structure, as listed in Alexandria.

The structure in POSCAR format:
```
YAuF2
1.0
5.0316 0.0000 0.0000
0.0000 5.0316 0.0000
0.0000 0.0000 13.9061
Y Au F
4 4 8
direct
0.0000 0.2500 0.3750
0.0000 0.7500 0.6250
0.5000 0.2500 0.1250
0.5000 0.7500 0.8750
0.0000 0.2500 0.8750
0.0000 0.7500 0.1250
0.5000 0.2500 0.6250
0.5000 0.7500 0.3750
0.0000 0.0000 0.5000
0.0000 0.5000 0.5000
0.2500 0.2500 0.2500
0.2500 0.7500 0.7500
0.5000 0.0000 0.0000
0.5000 0.5000 0.0000
0.7500 0.2500 0.2500
0.7500 0.7500 0.7500
```

Summary:
E_form (uncorrected): -2.394 eV per atom
symmetry: I4_1/amd (141)

No. 2
First-principles (GGA-PBE) data for a geometry-optimized Y2AuF structure, as listed in Alexandria.

The structure in POSCAR format:
```
Y2AuF
1.0
7.0424 0.0000 0.0000
0.0000 7.0424 0.0000
0.0000 0.0000 7.0424
Y Au F
8 4 4
direct
0.2500 0.2500 0.2500
0.2500 0.2500 0.7500
0.2500 0.7500 0.2500
0.2500 0.7500 0.7500
0.7500 0.2500 0.2500
0.7500 0.2500 0.7500
0.7500 0.7500 0.2500
0.7500 0.7500 0.7500
0.0000 0.0000 0.0000
0.0000 0.5000 0.5000
0.5000 0.0000 0.5000
0.5000 0.5000 0.0000
0.0000 0.0000 0.5000
0.0000 0.5000 0.0000
0.5000 0.0000 0.0000
0.5000 0.5000 0.5000
```

Summary:
E_form (uncorrected): -1.233 eV per atom
symmetry: Fm-3m (225)

No. 3
First-principles (GGA-PBE) data for a geometry-optimized Y2AuF structure, as listed in Alexandria.

The structure in POSCAR format:
```
Y2AuF
1.0
4.3226 0.0000 0.0000
-2.1613 3.7435 0.0000
0.0000 0.0000 22.0782
Y Au F
6 3 3
direct
0.0000 0.0000 0.0991
0.0000 0.0000 0.9009
0.3333 0.6667 0.5675
0.3333 0.6667 0.7658
0.6667 0.3333 0.2342
0.6667 0.3333 0.4325
0.0000 0.0000 0.5000
0.3333 0.6667 0.1667
0.6667 0.3333 0.8333
0.0000 0.0000 0.0000
0.3333 0.6667 0.6667
0.6667 0.3333 0.3333
```

Summary:
E_form (uncorrected): -1.613 eV per atom
symmetry: R-3m (166)

No. 4
First-principles (GGA-PBE) data for a geometry-optimized Y2Au5F21 structure, as listed in Alexandria.

The structure in POSCAR format:
```
Y2Au5F21
1.0
9.2480 0.0000 0.0000
0.0000 8.1189 0.0000
-9.0601 0.0000 12.0995
Y Au F
4 10 42
direct
0.1858 0.1654 0.0023
0.1858 0.8346 0.5023
0.8142 0.1654 0.4977
0.8142 0.8346 0.9977
0.1256 0.3316 0.4052
0.1256 0.6684 0.9052
0.3069 0.0638 0.7943
0.3069 0.9362 0.2943
0.5000 0.4880 0.7500
0.5000 0.5120 0.2500
0.6931 0.0638 0.7057
0.6931 0.9362 0.2057
0.8744 0.3316 0.0948
0.8744 0.6684 0.5948
0.0000 0.0000 0.0000
0.0000 0.0000 0.5000
0.0263 0.3245 0.0415
0.0263 0.6755 0.5415
0.0819 0.1759 0.6784
0.0819 0.8241 0.1784
0.1181 0.4271 0.9117
0.1181 0.5729 0.4117
0.1387 0.0896 0.3960
0.1387 0.9104 0.8960
0.2594 0.3465 0.3446
0.2594 0.6535 0.8446
0.3024 0.2017 0.8999
0.3024 0.7983 0.3999
0.3102 0.0776 0.1901
0.3102 0.9224 0.6901
0.4024 0.3440 0.1314
0.4024 0.6560 0.6314
0.4044 0.3166 0.6386
0.4044 0.6834 0.1386
0.4603 0.0298 0.0826
0.4603 0.9702 0.5826
0.5397 0.0298 0.4174
0.5397 0.9702 0.9174
0.5956 0.3166 0.8614
0.5956 0.6834 0.3614
0.5976 0.3440 0.3686
0.5976 0.6560 0.8686
0.6898 0.0776 0.3099
0.6898 0.9224 0.8099
0.6976 0.2017 0.6001
0.6976 0.7983 0.1001
0.7406 0.3465 0.1554
0.7406 0.6535 0.6554
0.8613 0.0896 0.1040
0.8613 0.9104 0.6040
0.8819 0.4271 0.5883
0.8819 0.5729 0.0883
0.9181 0.1759 0.8216
0.9181 0.8241 0.3216
0.9737 0.3245 0.4585
0.9737 0.6755 0.9585
```

Summary:
E_form (uncorrected): -1.899 eV per atom
symmetry: P2/c (13)